Record 1
# TiNbZn, relaxed, DFT PBE-GGA
data_TiNbZn
_symmetry_space_group_name_H-M 'C 1 m 1'
_symmetry_Int_Tables_number 8
_cell_length_a 9.414
_cell_length_b 4.151
_cell_length_c 5.638
_cell_angle_alpha 90.00
_cell_angle_beta 116.08
_cell_angle_gamma 90.00
loop_
_symmetry_equiv_pos_as_xyz
'x,y,z'
'x,-y,z'
'x+1/2,y+1/2,z'
'x+1/2,-y+1/2,z'
loop_
_atom_site_label
_atom_site_type_symbol
_atom_site_fract_x
_atom_site_fract_y
_atom_site_fract_z
Ti1 Ti 0.000 0.000 0.000
Ti2 Ti 0.163 0.500 0.850
Nb1 Nb 0.157 0.500 0.347
Nb2 Nb 0.324 0.000 0.682
Zn1 Zn 0.330 0.000 0.184
Zn2 Zn 0.485 0.500 0.494
# - DOS(E_F): 11.34 states/eV/cell
# - DFT formation energy: -0.06 eV/atom
# - Relative energy among the computed polymorphs: 6 kJ/mol of formula units
# - DFT total energy: -6.4703 eV per atom

***

Record 2
# Ti4NbZn5, relaxed, DFT PBE-GGA
data_Ti4NbZn5
_symmetry_space_group_name_H-M 'P 4/m m m'
_symmetry_Int_Tables_number 123
_symmetry_space_group_name_Hall '-P 4 2'
_cell_length_a 2.842
_cell_length_b 2.842
_cell_length_c 19.440
_cell_angle_alpha 90.00
_cell_angle_beta 90.00
_cell_angle_gamma 90.00
loop_
_atom_site_label
_atom_site_type_symbol
_atom_site_fract_x
_atom_site_fract_y
_atom_site_fract_z
Ti1 Ti 0.000 0.000 0.099
Ti2 Ti 0.000 0.000 0.297
Nb1 Nb 0.000 0.000 0.500
Zn1 Zn 0.500 0.500 0.000
Zn2 Zn 0.500 0.500 0.198
Zn3 Zn 0.500 0.500 0.397
# - DOS(E_F): 6.86 states/eV/cell
# - DFT formation energy: -0.17 eV/atom
# - DFT total energy: -4.9736 eV per atom

***

Record 3
# Ti7Nb2Zn2, relaxed, DFT PBE-GGA
data_Ti7Nb2Zn2
_symmetry_space_group_name_H-M 'C 1 2/m 1'
_symmetry_Int_Tables_number 12
_cell_length_a 7.045
_cell_length_b 7.554
_cell_length_c 7.405
_cell_angle_alpha 90.00
_cell_angle_beta 106.26
_cell_angle_gamma 90.00
loop_
_symmetry_equiv_pos_as_xyz
'x,y,z'
'-x,-y,-z'
'-x,y,-z'
'x,-y,z'
'x+1/2,y+1/2,z'
'-x+1/2,-y+1/2,-z'
'-x+1/2,y+1/2,-z'
'x+1/2,-y+1/2,z'
loop_
_atom_site_label
_atom_site_type_symbol
_atom_site_fract_x
_atom_site_fract_y
_atom_site_fract_z
Ti1 Ti 0.000 0.000 0.000
Ti2 Ti 0.144 0.000 0.413
Ti3 Ti 0.232 0.315 0.199
Nb1 Nb 0.104 0.500 0.842
Zn1 Zn 0.000 0.320 0.500
# - DOS(E_F): 24.22 states/eV/cell
# - DFT formation energy: -0.01 eV/atom
# - DFT total energy: -7.0959 eV per atom